#A
The following is a DFT calculation (PBE) of Nb3GaAg after structural relaxation.

```
5
Lattice="4.758 0.000 0.000 0.000 4.758 0.000 0.000 0.000 4.758" Properties=species:S:1:pos:R:3 pbc="T T T"
Ag 2.379 2.379 2.379
Nb 0.000 0.000 2.379
Nb 0.000 2.379 0.000
Nb 2.379 0.000 0.000
Ga 0.000 0.000 0.000
```

As for the magnetization: 0.000 μB/atom.


#B
The following is a DFT calculation (PBE) of Nb3GaAg after structural relaxation.

```
5
Lattice="4.909 0.000 0.000 0.000 4.909 0.000 0.000 0.000 4.909" Properties=species:S:1:pos:R:3 pbc="T T T"
Ga 2.455 2.455 2.455
Nb 2.455 0.000 0.000
Nb 0.000 0.000 2.455
Nb 0.000 2.455 0.000
Ag 0.000 0.000 0.000
```

As for the magnetization: 0.000 μB/atom.


It is #B that is the least stable of them.


#A
The following is a DFT calculation (PBE) of NbGaAg3 after structural relaxation.

```
5
Lattice="5.241 0.000 0.000 0.000 5.241 0.000 0.000 0.000 5.241" Properties=species:S:1:pos:R:3 pbc="T T T"
Ag 2.620 0.000 0.000
Ag 0.000 0.000 2.620
Ag 0.000 2.620 0.000
Nb 0.000 0.000 0.000
Ga 2.620 2.620 2.620
```

As for the magnetization: 0.415 μB/atom.


#B
The following is a DFT calculation (PBE) of NbGaAg3 after structural relaxation.

```
5
Lattice="-1.374 4.366 -1.368 -3.302 -1.935 -2.860 -3.168 0.123 3.574" Properties=species:S:1:pos:R:3 pbc="T T T"
Ag -0.687 2.183 -0.684
Ag -1.651 -0.967 -1.430
Ag -1.584 0.061 1.787
Ga 0.000 0.000 0.000
Nb -3.921 1.277 -0.327
```

As for the magnetization: 0.555 μB/atom.


It is #A that is the least stable of them.


#A
The following is a DFT calculation (PBE) of NbGa2Ag2 after structural relaxation.

```
10
Lattice="7.649 0.000 0.000 0.000 7.649 0.000 0.000 0.000 2.945" Properties=species:S:1:pos:R:3 pbc="T T T"
Ag 6.547 2.722 1.472
Ag 2.722 1.102 1.472
Ag 4.927 6.547 1.472
Ag 1.102 4.927 1.472
Nb 0.000 0.000 0.000
Nb 3.824 3.824 0.000
Ga 5.018 1.194 0.000
Ga 1.194 2.631 0.000
Ga 2.631 6.455 0.000
Ga 6.455 5.018 0.000
```

As for the magnetization: 0.000 μB/atom.


#B
The following is a DFT calculation (PBE) of NbGa2Ag2 after structural relaxation.

```
5
Lattice="3.851 0.000 0.000 0.000 3.851 0.000 1.925 1.925 5.920" Properties=species:S:1:pos:R:3 pbc="T T T"
Nb 0.000 0.000 0.000
Ag 1.925 3.851 2.960
Ag 3.851 1.925 2.960
Ga 1.925 1.925 1.169
Ga 3.851 3.851 4.751
```

As for the magnetization: 0.000 μB/atom.


It is #B that is the least stable of them.


#A
The following is a DFT calculation (PBE) of NdGa2Ag after structural relaxation.

```
4
Lattice="4.920 0.000 0.000 2.460 4.261 0.000 2.460 1.420 4.017" Properties=species:S:1:pos:R:3 pbc="T T T"
Ga 7.380 4.261 3.013
Ga 2.460 1.420 1.004
Nd 4.920 2.841 2.009
Ag 0.000 0.000 0.000
```

As for the magnetization: 0.000 μB/atom.


#B
The following is a DFT calculation (PBE) of NdGa2Ag after structural relaxation.

```
16
Lattice="-0.803 -4.631 0.282 0.689 -0.524 -6.647 10.377 -1.726 1.212" Properties=species:S:1:pos:R:3 pbc="T T T"
Ga 6.011 -4.595 0.623
Ga 8.768 -5.259 -2.418
Ga 3.982 -2.080 -3.166
Ga 1.495 -1.623 -2.735
Ga 6.281 -4.801 -1.988
Ga 4.252 -2.286 -5.777
Ga 1.223 -1.417 -0.124
Ga 9.040 -5.465 -5.029
Nd 3.238 -4.214 -1.023
Nd 7.026 -2.667 -4.130
Nd 1.435 -4.119 -4.597
Nd 8.828 -2.762 -0.556
Ag 4.537 -4.635 -4.234
Ag 10.127 -3.183 -3.769
Ag 5.726 -2.246 -0.919
Ag 0.136 -3.698 -1.385
```

As for the magnetization: 0.000 μB/atom.


It is #A that is the least stable of them.


#A
The following is a DFT calculation (PBE) of Nd2Ga3Ag2 after structural relaxation.

```
14
Lattice="4.232 0.000 -1.009 0.000 7.435 0.000 0.110 0.000 9.840" Properties=species:S:1:pos:R:3 pbc="T T T"
Nd 4.086 1.859 7.760
Nd 3.651 5.576 5.933
Nd 0.255 5.576 1.071
Nd 0.691 1.859 2.898
Ga 2.368 0.582 0.552
Ga 1.011 5.576 4.241
Ga 2.368 3.135 0.552
Ga 3.331 1.859 4.590
Ga 1.974 4.299 8.279
Ga 1.974 6.853 8.279
Ag 2.946 7.015 2.976
Ag 1.396 0.420 5.855
Ag 1.396 3.297 5.855
Ag 2.946 4.137 2.976
```

As for the magnetization: 0.000 μB/atom.


#B
The following is a DFT calculation (PBE) of Nd2Ga3Ag2 after structural relaxation.

```
7
Lattice="-1.228 4.298 0.883 -3.392 -3.939 2.701 5.738 0.942 3.396" Properties=species:S:1:pos:R:3 pbc="T T T"
Ga 1.086 2.218 2.473
Ga 0.031 -0.917 4.507
Ga -0.614 2.149 0.441
Nd -2.072 1.125 3.397
Nd 3.189 0.176 3.583
Ag 0.284 -0.287 1.790
Ag 0.833 1.587 5.190
```

As for the magnetization: 0.000 μB/atom.


It is #B that is the least stable of them.


#A
The following is a DFT calculation (PBE) of NdGa3Ag3 after structural relaxation.

```
14
Lattice="7.033 0.000 0.000 0.000 7.033 0.000 0.000 0.000 7.033" Properties=species:S:1:pos:R:3 pbc="T T T"
Ag 3.517 1.758 0.000
Ag 0.000 3.517 5.275
Ag 0.000 3.517 1.758
Ag 3.517 5.275 0.000
Ag 5.275 0.000 3.517
Ag 1.758 0.000 3.517
Ga 3.517 0.000 1.758
Ga 3.517 0.000 5.275
Ga 5.275 3.517 0.000
Ga 1.758 3.517 0.000
Ga 0.000 1.758 3.517
Ga 0.000 5.275 3.517
Nd 3.517 3.517 3.517
Nd 0.000 0.000 0.000
```

As for the magnetization: 0.000 μB/atom.


#B
The following is a DFT calculation (PBE) of NdGa3Ag3 after structural relaxation.

```
14
Lattice="-4.300 -0.221 0.628 -0.169 -5.767 -3.188 1.583 -0.754 10.572" Properties=species:S:1:pos:R:3 pbc="T T T"
Ga -3.137 -3.295 -0.030
Ga -0.013 -1.069 7.073
Ga 0.251 -3.448 8.042
Ga -2.873 -5.674 0.939
Ga -0.509 -1.374 3.565
Ga -2.376 -5.369 4.447
Ag -1.855 -5.478 7.975
Ag -1.881 -1.842 9.083
Ag -1.030 -1.265 0.037
Ag -2.898 -1.737 2.153
Ag 0.013 -5.005 5.859
Ag -1.005 -4.901 -1.071
Nd -2.333 -2.530 5.747
Nd -0.553 -4.213 2.266
```

As for the magnetization: 0.000 μB/atom.


It is #A that is the least stable of them.